1.
This record from the Alexandria database describes a geometry-optimized EuCd2Ga structure. The functional is GGA-PBE.

Properties
* polymorph energy (0 for the lowest one): 15.3 meV/atom
* N(E_F): 5.40 states/eV/cell
* space group: No. 225
* M_tot: 28.007 Bohr magnetons per cell
* final energy: -4.02 eV per atom

abc: 7.2896 7.2896 7.2896
angles: 90.00 90.00 90.00
Last column: nearest neighbours and their distance in Å.
Element x y z (fractional)
Eu 0.0000 0.0000 0.0000  8 Cd 3.16
Eu 0.0000 0.5000 0.5000  8 Cd 3.16
Eu 0.5000 0.0000 0.5000  8 Cd 3.16
Eu 0.5000 0.5000 0.0000  8 Cd 3.16
Cd 0.2500 0.2500 0.2500  4 Eu 3.16, 4 Ga 3.16
Cd 0.2500 0.2500 0.7500  4 Eu 3.16, 4 Ga 3.16
Cd 0.2500 0.7500 0.2500  4 Eu 3.16, 4 Ga 3.16
Cd 0.2500 0.7500 0.7500  4 Eu 3.16, 4 Ga 3.16
Cd 0.7500 0.2500 0.2500  4 Eu 3.16, 4 Ga 3.16
Cd 0.7500 0.2500 0.7500  4 Eu 3.16, 4 Ga 3.16
Cd 0.7500 0.7500 0.2500  4 Eu 3.16, 4 Ga 3.16
Cd 0.7500 0.7500 0.7500  4 Eu 3.16, 4 Ga 3.16
Ga 0.0000 0.0000 0.5000  8 Cd 3.16
Ga 0.0000 0.5000 0.0000  8 Cd 3.16
Ga 0.5000 0.0000 0.0000  8 Cd 3.16
Ga 0.5000 0.5000 0.5000  8 Cd 3.16

2.
This record from the Alexandria database describes a geometry-optimized EuCdGa2 structure. The functional is GGA-PBE.

Properties
* N(E_F): 4.98 states/eV/cell
* space group: No. 225
* M_tot: 27.987 Bohr magnetons per cell
* final energy: -4.64 eV per atom

abc: 7.1056 7.1056 7.1056
angles: 90.00 90.00 90.00
Last column: nearest neighbours and their distance in Å.
Element x y z (fractional)
Eu 0.0000 0.0000 0.0000  8 Ga 3.08
Eu 0.0000 0.5000 0.5000  8 Ga 3.08
Eu 0.5000 0.0000 0.5000  8 Ga 3.08
Eu 0.5000 0.5000 0.0000  8 Ga 3.08
Cd 0.0000 0.0000 0.5000  8 Ga 3.08
Cd 0.0000 0.5000 0.0000  8 Ga 3.08
Cd 0.5000 0.0000 0.0000  8 Ga 3.08
Cd 0.5000 0.5000 0.5000  8 Ga 3.08
Ga 0.2500 0.2500 0.2500  4 Cd 3.08, 4 Eu 3.08
Ga 0.2500 0.2500 0.7500  4 Cd 3.08, 4 Eu 3.08
Ga 0.2500 0.7500 0.2500  4 Cd 3.08, 4 Eu 3.08
Ga 0.2500 0.7500 0.7500  4 Cd 3.08, 4 Eu 3.08
Ga 0.7500 0.2500 0.2500  4 Cd 3.08, 4 Eu 3.08
Ga 0.7500 0.2500 0.7500  4 Cd 3.08, 4 Eu 3.08
Ga 0.7500 0.7500 0.2500  4 Cd 3.08, 4 Eu 3.08
Ga 0.7500 0.7500 0.7500  4 Cd 3.08, 4 Eu 3.08

3.
This record from the Alexandria database describes a geometry-optimized EuCdGa2 structure. The functional is GGA-PBE.

Properties
* N(E_F): 2.56 states/eV/cell
* space group: No. 123
* M_tot: 7.115 Bohr magnetons per cell
* final energy: -4.54 eV per atom

abc: 3.6132 3.6132 7.1319
angles: 90.00 90.00 90.00
Last column: nearest neighbours and their distance in Å.
Element x y z (fractional)
Eu 0.0000 0.0000 0.0000  8 Ga 3.30, 2 Cd 3.57, 4 Eu 3.61
Cd 0.0000 0.0000 0.5000  8 Ga 2.95
Ga 0.5000 0.5000 0.2922  4 Cd 2.95, 1 Ga 2.96, 4 Eu 3.30
Ga 0.5000 0.5000 0.7078  4 Cd 2.95, 1 Ga 2.96, 4 Eu 3.30